Record 1
Compound: LaYHoTm2
Source: Alexandria
Functional: PBE
Structure: relaxed

a b c (Å): 7.2273 8.3848 7.1068
angles (deg): 126.15 90.00 90.00
Last column: nearest neighbours and their distance in Å.
Fractional positions:
1 Tm 0.0000 0.6885 0.0000  1 Tm 3.16, 2 Y 3.18, 2 Ho 3.44
2 Ho 0.7500 0.7145 0.4289  1 Y 3.22, 4 Tm 3.44
3 Tm 0.0000 0.3115 0.0000  1 Tm 3.16, 2 Y 3.18, 2 Ho 3.44
4 Y 0.2500 0.0051 0.0101  1 La 3.13, 4 Tm 3.18, 1 Ho 3.22
5 La 0.2500 0.7325 0.4649  1 Y 3.13
6 Y 0.7500 0.9949 0.9899  1 La 3.13, 4 Tm 3.18, 1 Ho 3.22
7 Tm 0.5000 0.3115 0.0000  1 Tm 3.16, 2 Y 3.18, 2 Ho 3.44
8 La 0.7500 0.2675 0.5351  1 Y 3.13
9 Ho 0.2500 0.2855 0.5711  1 Y 3.22, 4 Tm 3.44
10 Tm 0.5000 0.6885 0.0000  1 Tm 3.16, 2 Y 3.18, 2 Ho 3.44

## Properties
**DFT formation energy**: 0.367 eV/atom
**D(E_F)**: 6.74 states/eV/f.u.

Record 2
Compound: LaYHoTm
Source: Alexandria
Functional: PBE
Structure: relaxed

a b c (Å): 5.7207 5.7207 5.7207
angles (deg): 60.00 60.00 60.00
Last column: nearest neighbours and their distance in Å.
Fractional positions:
1 Y 0.2500 0.2500 0.2500  4 Ho 3.50, 4 Tm 3.50
2 Ho 0.5000 0.5000 0.5000  4 La 3.50, 4 Y 3.50
3 Tm 0.0000 0.0000 0.0000  4 La 3.50, 4 Y 3.50
4 La 0.7500 0.7500 0.7500  4 Tm 3.50, 4 Ho 3.50

## Properties
**Relative energy among the computed polymorphs**: 0.0777 eV per atom
**DFT formation energy**: 0.107 eV/atom
**D(E_F)**: 6.60 states/eV/f.u.

Record 3
Compound: LaY6Ho3Tm2
Source: Alexandria
Functional: PBE
Structure: relaxed

a b c (Å): 6.1645 6.1645 11.8153
angles (deg): 94.97 94.97 119.96
Last column: nearest neighbours and their distance in Å.
Fractional positions:
1 La 0.0000 0.0000 0.0000  6 Tm 3.56, 6 Y 3.58-3.59
2 Y 0.7495 0.7495 0.2520  3 Ho 3.54-3.55, 6 Y 3.55-3.58, 2 Tm 3.58, 1 La 3.58
3 Tm 0.6666 0.3334 0.0000  3 Tm 3.56, 3 La 3.56, 6 Y 3.57-3.58
4 Ho 0.1672 0.8328 0.5000  6 Y 3.54-3.55, 6 Ho 3.55-3.57
5 Y 0.4193 0.0846 0.2519  3 Ho 3.54-3.55, 6 Y 3.55-3.58, 2 Tm 3.57-3.58, 1 La 3.59
6 Y 0.5807 0.9154 0.7481  3 Ho 3.54-3.55, 6 Y 3.55-3.58, 2 Tm 3.57-3.58, 1 La 3.59
7 Y 0.0846 0.4193 0.2519  3 Ho 3.54-3.55, 6 Y 3.55-3.58, 2 Tm 3.57-3.58, 1 La 3.59
8 Tm 0.3334 0.6666 0.0000  3 Tm 3.56, 3 La 3.56, 6 Y 3.57-3.58
9 Y 0.2505 0.2505 0.7480  3 Ho 3.54-3.55, 6 Y 3.55-3.58, 2 Tm 3.58, 1 La 3.58
10 Ho 0.5000 0.5000 0.5000  6 Y 3.54-3.55, 6 Ho 3.55-3.56
11 Ho 0.8328 0.1672 0.5000  6 Y 3.54-3.55, 6 Ho 3.55-3.57
12 Y 0.9154 0.5807 0.7481  3 Ho 3.54-3.55, 6 Y 3.55-3.58, 2 Tm 3.57-3.58, 1 La 3.59

## Properties
**DFT formation energy**: 0.026 eV/atom
**D(E_F)**: 17.28 states/eV/f.u.

Record 4
Compound: LaY3HoTm
Source: Alexandria
Functional: PBE
Structure: relaxed

a b c (Å): 5.7559 6.5876 11.5062
angles (deg): 90.00 90.00 115.90
Last column: nearest neighbours and their distance in Å.
Fractional positions:
1 Y 0.6744 0.3487 0.4762  3 Y 3.35-3.43, 2 La 3.53-3.60, 2 Ho 3.55, 1 Tm 3.64
2 Tm 0.8288 0.6577 0.7500  2 Ho 3.52, 3 La 3.57-3.72, 9 Y 3.59-3.88
3 Y 0.1479 0.2958 0.7500  2 La 3.21, 2 Y 3.35, 2 Ho 3.37, 2 Tm 3.59
4 Y 0.3256 0.6513 0.9762  3 Y 3.35-3.43, 2 La 3.53-3.60, 2 Ho 3.55, 1 Tm 3.64
5 La 0.5273 0.0545 0.7500  4 Y 3.21-3.53, 1 Tm 3.57
6 Tm 0.1712 0.3423 0.2500  2 Ho 3.52, 3 La 3.57-3.72, 9 Y 3.59-3.88
7 Y 0.3256 0.6513 0.5238  3 Y 3.35-3.43, 2 La 3.53-3.60, 2 Ho 3.55, 1 Tm 3.64
8 Ho 0.0000 0.0000 0.5000  6 Y 3.37-3.55, 2 Tm 3.52
9 Y 0.6744 0.3487 0.0238  3 Y 3.35-3.43, 2 La 3.53-3.60, 2 Ho 3.55, 1 Tm 3.64
10 La 0.4727 0.9455 0.2500  4 Y 3.21-3.53, 1 Tm 3.57
11 Y 0.8521 0.7042 0.2500  2 La 3.21, 2 Y 3.35, 2 Ho 3.37, 2 Tm 3.59
12 Ho 0.0000 0.0000 0.0000  6 Y 3.37-3.55, 2 Tm 3.52

## Properties
**DFT formation energy**: 0.123 eV/atom
**D(E_F)**: 12.44 states/eV/f.u.

Record 5
Compound: La2Y2HoTm4
Source: Alexandria
Functional: PBE
Structure: relaxed

a b c (Å): 3.5983 9.5008 9.5566
angles (deg): 115.23 90.00 100.92
Last column: nearest neighbours and their distance in Å.
Fractional positions:
1 Y 0.8536 0.7072 0.3385  7 Tm 3.46-3.62, 3 La 3.60, 2 Y 3.60
2 Tm 0.4798 0.9596 0.6640  4 Y 3.48-3.60, 5 Tm 3.53-3.60, 2 Ho 3.55, 1 La 3.56
3 Tm 0.8149 0.6299 0.6610  3 Y 3.46-3.62, 6 Tm 3.48-3.60, 1 Ho 3.56, 2 La 3.57
4 Y 0.1464 0.2928 0.6615  7 Tm 3.46-3.62, 3 La 3.60, 2 Y 3.60
5 La 0.3352 0.6703 0.9984  2 Ho 3.56, 3 Tm 3.56-3.57, 3 Y 3.60, 4 La 3.60-3.66
6 Ho 0.0000 0.0000 0.0000  6 Tm 3.55-3.56, 4 La 3.56, 2 Ho 3.60
7 Tm 0.5202 0.0404 0.3360  4 Y 3.48-3.60, 5 Tm 3.53-3.60, 2 Ho 3.55, 1 La 3.56
8 Tm 0.1851 0.3701 0.3390  3 Y 3.46-3.62, 6 Tm 3.48-3.60, 1 Ho 3.56, 2 La 3.57
9 La 0.6648 0.3297 0.0016  2 Ho 3.56, 3 Tm 3.56-3.57, 3 Y 3.60, 4 La 3.60-3.66

## Properties
**DFT formation energy**: 0.002 eV/atom
**D(E_F)**: 13.37 states/eV/f.u.

Record 6
Compound: La3Y2HoTm6
Source: Alexandria
Functional: PBE
Structure: relaxed

a b c (Å): 6.1946 6.1946 11.7568
angles (deg): 95.03 95.03 119.98
Last column: nearest neighbours and their distance in Å.
Fractional positions:
1 La 0.5000 0.5000 0.5000  6 La 3.58, 6 Tm 3.60
2 Tm 0.7487 0.7487 0.2449  1 Ho 3.51, 2 Y 3.51, 6 Tm 3.57-3.58, 3 La 3.60
3 Ho 0.0000 0.0000 0.0000  6 Tm 3.50-3.51, 6 Y 3.58
4 Y 0.6666 0.3334 0.0000  6 Tm 3.51, 3 Y 3.57-3.58, 3 Ho 3.58
5 Tm 0.5863 0.9187 0.7552  1 Ho 3.50, 2 Y 3.51, 6 Tm 3.57-3.58, 3 La 3.60-3.61
6 Tm 0.0813 0.4137 0.2448  1 Ho 3.50, 2 Y 3.51, 6 Tm 3.57-3.58, 3 La 3.60-3.61
7 Y 0.3334 0.6666 0.0000  6 Tm 3.51, 3 Y 3.57-3.58, 3 Ho 3.58
8 Tm 0.4137 0.0813 0.2448  1 Ho 3.50, 2 Y 3.51, 6 Tm 3.57-3.58, 3 La 3.60-3.61
9 Tm 0.2513 0.2513 0.7551  1 Ho 3.51, 2 Y 3.51, 6 Tm 3.57-3.58, 3 La 3.60
10 Tm 0.9187 0.5863 0.7552  1 Ho 3.50, 2 Y 3.51, 6 Tm 3.57-3.58, 3 La 3.60-3.61
11 La 0.1667 0.8333 0.5000  6 La 3.58, 6 Tm 3.60-3.61
12 La 0.8333 0.1667 0.5000  6 La 3.58, 6 Tm 3.60-3.61

## Properties
**DFT formation energy**: 0.029 eV/atom
**D(E_F)**: 16.88 states/eV/f.u.

Record 7
Compound: LaYHo2Tm2
Source: Alexandria
Functional: PBE
Structure: relaxed

a b c (Å): 3.5311 16.0334 6.9180
angles (deg): 90.00 90.00 90.00
Last column: nearest neighbours and their distance in Å.
Fractional positions:
1 Tm 0.0000 0.3431 0.7501  4 Ho 3.44-3.47, 2 Y 3.53, 2 La 3.53, 2 Tm 3.53
2 Tm 0.5000 0.1569 0.2501  4 Ho 3.44-3.47, 2 Y 3.53, 2 La 3.53, 2 Tm 3.53
3 Y 0.0000 0.0000 0.5000  2 La 3.46, 4 Tm 3.53, 2 Y 3.53, 4 Ho 3.55
4 Ho 0.5000 0.1590 0.7491  4 Tm 3.44-3.47, 2 Ho 3.53, 2 Y 3.55, 2 La 3.55
5 Y 0.5000 0.5000 0.0000  2 La 3.46, 4 Tm 3.53, 2 Y 3.53, 4 Ho 3.55
6 La 0.0000 0.0000 0.0000  2 Y 3.46, 4 Tm 3.53, 2 La 3.53, 4 Ho 3.55
7 Tm 0.0000 0.6569 0.2499  4 Ho 3.44-3.47, 2 Y 3.53, 2 La 3.53, 2 Tm 3.53
8 Ho 0.0000 0.3410 0.2491  4 Tm 3.44-3.47, 2 Ho 3.53, 2 Y 3.55, 2 La 3.55
9 Tm 0.5000 0.8431 0.7499  4 Ho 3.44-3.47, 2 Y 3.53, 2 La 3.53, 2 Tm 3.53
10 La 0.5000 0.5000 0.5000  2 Y 3.46, 4 Tm 3.53, 2 La 3.53, 4 Ho 3.55
11 Ho 0.5000 0.8410 0.2509  4 Tm 3.44-3.47, 2 Ho 3.53, 2 Y 3.55, 2 La 3.55
12 Ho 0.0000 0.6590 0.7509  4 Tm 3.44-3.47, 2 Ho 3.53, 2 Y 3.55, 2 La 3.55

## Properties
**DFT formation energy**: 0.177 eV/atom
**D(E_F)**: 8.91 states/eV/f.u.

Record 8
Compound: LaY3Ho2Tm6
Source: Alexandria
Functional: PBE
Structure: relaxed

a b c (Å): 6.1265 6.1265 11.7140
angles (deg): 94.99 94.99 119.96
Last column: nearest neighbours and their distance in Å.
Fractional positions:
1 Tm 0.5811 0.9157 0.7489  3 Y 3.52-3.53, 6 Tm 3.53-3.55, 2 Ho 3.54, 1 La 3.55
2 La 0.0000 0.0000 0.0000  6 Ho 3.54, 6 Tm 3.55
3 Y 0.8330 0.1670 0.5000  6 Tm 3.52-3.53, 6 Y 3.53-3.54
4 Tm 0.2505 0.2505 0.7489  3 Y 3.52-3.53, 6 Tm 3.53-3.55, 2 Ho 3.54, 1 La 3.55
5 Tm 0.7495 0.7495 0.2511  3 Y 3.52-3.53, 6 Tm 3.53-3.55, 2 Ho 3.54, 1 La 3.55
6 Tm 0.0843 0.4189 0.2511  3 Y 3.52-3.53, 6 Tm 3.53-3.55, 2 Ho 3.54, 1 La 3.55
7 Y 0.1670 0.8330 0.5000  6 Tm 3.52-3.53, 6 Y 3.53-3.54
8 Y 0.5000 0.5000 0.5000  6 Tm 3.52, 6 Y 3.53-3.54
9 Tm 0.4189 0.0843 0.2511  3 Y 3.52-3.53, 6 Tm 3.53-3.55, 2 Ho 3.54, 1 La 3.55
10 Ho 0.6666 0.3334 0.0000  3 Ho 3.54, 3 La 3.54, 6 Tm 3.54
11 Tm 0.9157 0.5811 0.7489  3 Y 3.52-3.53, 6 Tm 3.53-3.55, 2 Ho 3.54, 1 La 3.55
12 Ho 0.3334 0.6666 0.0000  3 Ho 3.54, 3 La 3.54, 6 Tm 3.54

## Properties
**DFT formation energy**: 0.029 eV/atom
**D(E_F)**: 17.11 states/eV/f.u.

Question: Which of these has the highest DFT formation energy?
Answer: LaYHoTm2

Question: Look up the D(E_F) of the fourth one.
Answer: 12.44 states/eV/f.u.

Question: Which value of DFT formation energy does entry 1 give?
Answer: 0.367 eV/atom